No. 1
## Li5ZnHg3 (PBE)

Data for an optimized crystal structure of Li5ZnHg3.

Cell lengths 5.567, 8.109, 8.109 Å; angles 120.00, 90.00, 90.00 degrees
Element x y z (fractional)
Zn 0.000 0.000 0.000
Hg 0.750 0.633 0.000
Li 0.500 0.333 0.667
Li 0.000 0.333 0.667
Li 0.250 0.000 0.702
Li 0.000 0.667 0.333
Li 0.750 0.703 0.702
Zn 0.500 0.000 0.000
Li 0.250 0.297 0.298
Hg 0.250 0.000 0.367
Hg 0.750 0.000 0.633
Li 0.750 0.000 0.298
Hg 0.250 0.367 0.000
Li 0.250 0.702 0.000
Hg 0.250 0.633 0.633
Li 0.750 0.298 0.000
Li 0.500 0.667 0.333
Hg 0.750 0.367 0.367

## Properties
The calculation puts the energy relative to the elements at -27.6 kJ per mole of atoms. For the density of states at the Fermi level, the calculation gives 3.7 states/eV/f.u. The magnetic moment comes out at 0.00 μB per atom. As for the space-group type: P6_3/mcm (193). The value obtained for the total energy is -28.65 eV/cell.



No. 2
## GaAgSn2Br6 (PBE)

Data for an optimized crystal structure of GaAgSn2Br6.

Cell lengths 7.612, 7.613, 8.150 Å; angles 62.14, 62.16, 59.96 degrees
Element x y z (fractional)
Br 0.936 0.606 0.235
Ag 0.315 0.315 0.055
Ga 0.816 0.816 0.551
Br 0.717 0.131 0.747
Br 0.406 0.717 0.746
Sn 0.506 0.507 0.481
Br 0.223 0.936 0.235
Sn 0.006 0.006 0.983
Br 0.605 0.223 0.235
Br 0.131 0.406 0.747

## Properties
For the density of states at the Fermi level, the calculation gives 0.0 states/eV/f.u. The formation energy without anion corrections is -0.617 eV per atom. The magnetic moment comes out at 0.00 μB per atom. As for the space-group type: R3 (146). The value obtained for the total energy is -30.09 eV/cell.



No. 3
## SrLa2ReRh (PBE)

Data for an optimized crystal structure of SrLa2ReRh.

Cell lengths 5.401, 5.650, 5.401 Å; angles 90.00, 90.00, 90.00 degrees
Element x y z (fractional)
Rh 0.000 0.000 0.000
La 0.000 0.000 0.500
Sr 0.000 0.500 0.000
Re 0.500 0.500 0.500
La 0.500 0.000 0.000

## Properties
The calculation puts the energy relative to the elements at 64.3 kJ per mole of atoms. For the density of states at the Fermi level, the calculation gives 6.3 states/eV/f.u. The magnetic moment comes out at 0.53 μB per atom. As for the space-group type: P4/mmm (123). The value obtained for the total energy is -28.00 eV/cell.



No. 4
## TbPm12Tm6 (PBE)

Data for an optimized crystal structure of TbPm12Tm6.

Cell lengths 8.611, 8.611, 8.611 Å; angles 88.83, 88.83, 88.83 degrees
Element x y z (fractional)
Pm 0.805 0.637 0.983
Pm 0.433 0.781 0.537
Tm 0.900 0.297 0.741
Pm 0.195 0.363 0.017
Pm 0.017 0.195 0.363
Tm 0.259 0.100 0.703
Pm 0.219 0.463 0.567
Pm 0.637 0.983 0.805
Tm 0.100 0.703 0.259
Tm 0.297 0.741 0.900
Pm 0.363 0.017 0.195
Tm 0.703 0.259 0.100
Tb 0.000 0.000 0.000
Pm 0.463 0.567 0.219
Tm 0.741 0.900 0.297
Pm 0.567 0.219 0.463
Pm 0.537 0.433 0.781
Pm 0.983 0.805 0.637
Pm 0.781 0.537 0.433

## Properties
The calculation puts the energy relative to the elements at 13.1 kJ per mole of atoms. For the density of states at the Fermi level, the calculation gives 32.8 states/eV/f.u. The value obtained for the offset from the most stable computed form is 0.1191 eV/atom. The magnetic moment comes out at 0.00 μB per atom. As for the space-group type: R-3 (148). The value obtained for the total energy is -85.88 eV/cell.



No. 5
## CsUTlI6 (PBE)

Data for an optimized crystal structure of CsUTlI6.

Cell lengths 8.657, 8.657, 15.992 Å; angles 90.00, 90.00, 120.00 degrees
Element x y z (fractional)
Tl 0.333 0.667 0.250
Cs 0.000 0.000 0.000
I 0.348 0.391 0.860
I 0.348 0.957 0.640
I 0.652 0.043 0.360
I 0.652 0.609 0.140
U 0.333 0.667 0.750
Tl 0.667 0.333 0.750
I 0.391 0.043 0.140
I 0.609 0.957 0.860
U 0.667 0.333 0.250
I 0.957 0.348 0.140
I 0.043 0.652 0.860
I 0.043 0.391 0.640
I 0.609 0.652 0.640
I 0.391 0.348 0.360
Cs 0.000 0.000 0.500
I 0.957 0.609 0.360

## Properties
For the density of states at the Fermi level, the calculation gives 8.5 states/eV/f.u. The formation energy without anion corrections is -0.971 eV per atom. The magnetic moment comes out at 0.22 μB per atom. As for the space-group type: P-31c (163). The value obtained for the total energy is -65.10 eV/cell.



No. 6
## ScBe2TlFe (PBE)

Data for an optimized crystal structure of ScBe2TlFe.

Cell lengths 4.331, 4.471, 4.331 Å; angles 90.00, 90.00, 90.00 degrees
Element x y z (fractional)
Be 0.000 0.000 0.500
Fe 0.000 0.000 0.000
Be 0.500 0.000 0.000
Tl 0.500 0.500 0.500
Sc 0.000 0.500 0.000

## Properties
The calculation puts the energy relative to the elements at 38.9 kJ per mole of atoms. For the density of states at the Fermi level, the calculation gives 2.6 states/eV/f.u. The magnetic moment comes out at 0.05 μB per atom. As for the space-group type: P4/mmm (123). The value obtained for the total energy is -22.60 eV/cell.



No. 7
## Pr2ScTl (PBE)

Data for an optimized crystal structure of Pr2ScTl.

Cell lengths 5.536, 5.536, 5.536 Å; angles 60.00, 60.00, 60.00 degrees
Element x y z (fractional)
Pr 0.750 0.750 0.750
Pr 0.250 0.250 0.250
Tl 0.000 0.000 0.000
Sc 0.500 0.500 0.500

## Properties
The calculation puts the energy relative to the elements at -7.9 kJ per mole of atoms. For the density of states at the Fermi level, the calculation gives 5.3 states/eV/f.u. The value obtained for the offset from the most stable computed form is 0.0775 eV/atom. The magnetic moment comes out at 0.30 μB per atom. As for the space-group type: Fm-3m (225). The value obtained for the total energy is -18.59 eV/cell.



No. 8
## Ce8IrRu3I4 (PBE)

Data for an optimized crystal structure of Ce8IrRu3I4.

Cell lengths 8.221, 9.298, 8.220 Å; angles 116.23, 120.00, 90.00 degrees
Element x y z (fractional)
Ce 0.725 0.685 0.955
I 0.500 0.000 0.500
I 0.000 0.000 0.500
Ru 0.000 0.500 0.500
Ru 0.500 0.500 0.500
Ce 0.275 0.315 0.045
I 0.000 0.000 0.000
Ce 0.729 0.685 0.457
Ce 0.230 0.685 0.460
Ce 0.770 0.315 0.045
I 0.500 0.000 0.000
Ir 0.000 0.500 0.000
Ce 0.230 0.685 0.955
Ce 0.770 0.315 0.540
Ce 0.271 0.315 0.543
Ru 0.500 0.500 0.000

## Properties
For the density of states at the Fermi level, the calculation gives 44.0 states/eV/f.u. The formation energy without anion corrections is -0.732 eV per atom. The magnetic moment comes out at 0.35 μB per atom. As for the space-group type: R-3m (166). The value obtained for the total energy is -102.08 eV/cell.



No. 9
## LaDyMg17 (PBE)

Data for an optimized crystal structure of LaDyMg17.

Cell lengths 7.814, 7.814, 7.814 Å; angles 82.24, 82.24, 82.24 degrees
Element x y z (fractional)
Mg 0.645 0.645 0.167
Mg 0.301 0.697 0.002
Mg 0.847 0.350 0.350
Mg 0.167 0.645 0.645
Mg 0.645 0.167 0.645
Mg 0.502 0.997 0.997
Mg 0.002 0.301 0.697
Mg 0.301 0.002 0.697
Mg 0.697 0.301 0.002
Mg 0.350 0.847 0.350
Dy 0.329 0.329 0.329
Mg 0.350 0.350 0.847
Mg 0.100 0.100 0.100
Mg 0.697 0.002 0.301
La 0.668 0.668 0.668
Mg 0.997 0.997 0.502
Mg 0.902 0.902 0.902
Mg 0.002 0.697 0.301
Mg 0.997 0.502 0.997

## Properties
The calculation puts the energy relative to the elements at -4.3 kJ per mole of atoms. For the density of states at the Fermi level, the calculation gives 8.5 states/eV/f.u. The magnetic moment comes out at 0.00 μB per atom. As for the space-group type: R3m (160). The value obtained for the total energy is -37.49 eV/cell.



No. 10
## NdPuHgRh (PBE)

Data for an optimized crystal structure of NdPuHgRh.

Cell lengths 5.157, 5.157, 5.157 Å; angles 60.00, 60.00, 60.00 degrees
Element x y z (fractional)
Hg 0.500 0.500 0.500
Rh 0.000 0.000 0.000
Pu 0.750 0.750 0.750
Nd 0.250 0.250 0.250

## Properties
The calculation puts the energy relative to the elements at -29.6 kJ per mole of atoms. For the density of states at the Fermi level, the calculation gives 11.4 states/eV/f.u. The value obtained for the offset from the most stable computed form is 0.0987 eV/atom. The magnetic moment comes out at 1.41 μB per atom. As for the space-group type: F-43m (216). The value obtained for the total energy is -27.98 eV/cell.